Entry 1:
Material: AgOF2
Method: DFT, PBE
State: optimized geometry

Lattice parameters (Å, degrees): 4.0418 4.0418 4.0418 60.00 60.00 60.00
Fractional coordinates of all 4 atoms:
Ag 0.0000 0.0000 0.0000
O 0.5000 0.5000 0.5000
F 0.2500 0.2500 0.2500
F 0.7500 0.7500 0.7500

Values from the calculation:
The calculation puts the offset from the most stable computed form at 75.60 kJ/mol of atoms. The uncorrected formation energy comes out at -0.0233 eV per atom. Its space group is No. 225. Its crystal system is cubic.


Entry 2:
Material: TaSb2Mo
Method: DFT, PBE
State: optimized geometry

Lattice parameters (Å, degrees): 3.3517 3.3517 8.0750 90.00 90.00 90.00
Fractional coordinates of all 4 atoms:
Ta 0.0000 0.0000 0.0000
Sb 0.0000 0.0000 0.3831
Sb 0.5000 0.5000 0.7756
Mo 0.5000 0.5000 0.1700

Values from the calculation:
The uncorrected formation energy comes out at -0.0042 eV per atom. Its space group is No. 99. Its crystal system is tetragonal.


Entry 3:
Material: Na2MgTl2Pb4
Method: DFT, PBE
State: optimized geometry

Lattice parameters (Å, degrees): 7.1949 7.2270 7.4589 61.26 89.58 61.41
Fractional coordinates of all 9 atoms:
Na 0.2467 0.4885 0.2726
Na 0.7533 0.5115 0.7274
Mg 0.0000 0.0000 0.5000
Tl 0.2783 0.4563 0.7836
Tl 0.7217 0.5437 0.2164
Pb 0.2790 0.0048 0.2109
Pb 0.2837 0.9843 0.7958
Pb 0.7163 0.0157 0.2042
Pb 0.7210 0.9952 0.7891

Values from the calculation:
Its space group is No. 2. Its crystal system is triclinic. The formation energy is -0.033 eV per atom.


Number 1: calculated volume 46.7 Å³/f.u., mass density 5.8 g/cm³, uncorrected energy -2.91 eV/atom. Number 2: calculated volume 90.7 Å³/f.u., mass density 9.5 g/cm³, uncorrected energy -7.74 eV/atom. Number 3: calculated volume 285.8 Å³/f.u., mass density 7.6 g/cm³, uncorrected energy -2.68 eV/atom.